Entry from Alexandria via LeMat-Bulk: a relaxed structure of Sr2MoRu (GGA-PBE).

Computed properties:
DFT total energy = -4.756 eV/atom
calculated formation energy = 1.111 eV per atom
relative energy among the computed polymorphs = 0.8464 eV per atom
space-group type = No. 12
spin magnetization = 0.0 μB per cell

Cell: 6.500 5.788 3.175 Å, 89.94 60.87 115.34°
Sites, in units of the cell vectors:
Sr 0.500 0.000 0.500
Mo 0.000 0.500 0.500
Sr 0.000 0.000 0.000
Ru 0.500 0.500 0.000